Entry 1:
LaTb2H: optimized geometry, PBE.

Lattice parameters (Å, degrees): 3.5205 3.5205 9.8280 79.68 79.68 60.00
Last column: nearest neighbours and their distance in Å.
Element x y z (fractional)
Tb  0.8797  0.8797  0.3608  3 H 2.43
Tb  0.1203  0.1203  0.6392  3 H 2.43
La  0.0000  0.0000  0.0000  2 Tb 3.47, 6 La 3.52
H  0.5000  0.5000  0.5000  6 Tb 2.43

space-group type	R-3m
polymorph energy (0 for the lowest one)	0.0	meV per atom

***

Entry 2:
Pr2HgAu4: optimized geometry, PBE.

Lattice parameters (Å, degrees): 5.5101 5.5101 7.1955 112.51 112.51 90.00
Last column: nearest neighbours and their distance in Å.
Element x y z (fractional)
Hg  0.0000  0.0000  0.0000  4 Au 2.76
Pr  0.3554  0.3554  0.7109  8 Au 3.04-3.26
Pr  0.6446  0.6446  0.2891  8 Au 3.04-3.26
Au  0.5000  0.0000  0.0000  2 Hg 2.76, 2 Au 3.02
Au  0.0000  0.5000  0.0000  2 Hg 2.76, 2 Au 3.02
Au  0.7500  0.2500  0.5000  2 Au 3.02, 4 Pr 3.04
Au  0.2500  0.7500  0.5000  2 Au 3.02, 4 Pr 3.04

formation enthalpy at 0 K	-0.382	eV per atom
space-group type	I4/mmm
polymorph energy (0 for the lowest one)	155.2	meV per atom

***

> The highest polymorph energy (0 for the lowest one) belongs to which entry?

Pr2HgAu4

***

Please write out number 1 again, unchanged.
LaTb2H: optimized geometry, PBE.

Lattice parameters (Å, degrees): 3.5205 3.5205 9.8280 79.68 79.68 60.00
Last column: nearest neighbours and their distance in Å.
Element x y z (fractional)
Tb  0.8797  0.8797  0.3608  3 H 2.43
Tb  0.1203  0.1203  0.6392  3 H 2.43
La  0.0000  0.0000  0.0000  2 Tb 3.47, 6 La 3.52
H  0.5000  0.5000  0.5000  6 Tb 2.43

space-group type	R-3m
polymorph energy (0 for the lowest one)	0.0	meV per atom